DFT (PBE) results for crystalline Tb2MgO4 at its relaxed geometry.

As for the crystal system: cubic. The total energy comes out at -7.5145 eV per atom.

It has space group Fd-3m (No. 227, origin choice 2), with a = 9.3212 Å, b = 9.3212 Å, c = 9.3212 Å, α = 90.00°, β = 90.00° and γ = 90.00°. The asymmetric unit holds Tb at (0.0000, 0.0000, 0.0000), Mg at (0.1250, 0.1250, 0.6250) and O at (0.0045, 0.0045, 0.2455).


DFT (PBE) results for crystalline PmOs at its relaxed geometry.

As for the crystal system: cubic. The total energy comes out at -7.1425 eV per atom.

It has space group Fm-3m (No. 225), with a = 5.8160 Å, b = 5.8160 Å, c = 5.8160 Å, α = 90.00°, β = 90.00° and γ = 90.00°. The asymmetric unit holds Pm at (0.0000, 0.0000, 0.0000) and Os at (0.0000, 0.0000, 0.5000).


DFT (PBE) results for crystalline TaCoPd at its relaxed geometry.

The value obtained for the offset from the most stable computed form is 0 meV per atom. As for the crystal system: cubic. The total energy comes out at -7.8672 eV per atom.

It has space group F-43m (No. 216), with a = 5.8143 Å, b = 5.8143 Å, c = 5.8143 Å, α = 90.00°, β = 90.00° and γ = 90.00°. The asymmetric unit holds Ta at (0.0000, 0.0000, 0.0000), Co at (0.2500, 0.2500, 0.7500) and Pd at (0.0000, 0.0000, 0.5000).


DFT (PBE) results for crystalline InBiW at its relaxed geometry.

As for the crystal system: cubic. The total energy comes out at -5.5578 eV per atom.

It has space group F-43m (No. 216), with a = 6.7517 Å, b = 6.7517 Å, c = 6.7517 Å, α = 90.00°, β = 90.00° and γ = 90.00°. The asymmetric unit holds In at (0.0000, 0.0000, 0.0000), Bi at (0.0000, 0.0000, 0.5000) and W at (0.2500, 0.2500, 0.7500).


DFT (PBE) results for crystalline KNbF3 at its relaxed geometry.

The value obtained for the offset from the most stable computed form is 144 meV per atom. As for the crystal system: orthorhombic. The total energy comes out at -5.4269 eV per atom.

It has space group Pnma (No. 62), with a = 5.9928 Å, b = 10.0993 Å, c = 5.3422 Å, α = 90.00°, β = 90.00° and γ = 90.00°. The asymmetric unit holds K at (0.0000, 0.0000, 0.0000), Nb at (0.0670, 0.2500, 0.4666), F at (0.1306, 0.7500, 0.1804) and F at (0.2028, 0.6319, 0.6882).


DFT (PBE) results for crystalline Y2HoGe4Au4 at its relaxed geometry.

As for the crystal system: orthorhombic. The total energy comes out at -5.1024 eV per atom.

It has space group Immm (No. 71), with a = 4.1025 Å, b = 4.3745 Å, c = 25.8497 Å, α = 90.00°, β = 90.00° and γ = 90.00°. The asymmetric unit holds Y at (0.0000, 0.0000, 0.1484), Ho at (0.0000, 0.5000, 0.0000), Ge at (0.0000, 0.0000, 0.3116), Ge at (0.0000, 0.5000, 0.4526), Au at (0.0000, 0.0000, 0.4076) and Au at (0.0000, 0.5000, 0.2544).


DFT (PBE) results for crystalline TaNi2B at its relaxed geometry.

As for the crystal system: cubic. The total energy comes out at -7.4143 eV per atom.

It has space group F-43m (No. 216), with a = 5.6679 Å, b = 5.6679 Å, c = 5.6679 Å, α = 90.00°, β = 90.00° and γ = 90.00°. The asymmetric unit holds Ta at (0.0000, 0.0000, 0.0000), Ni at (0.0000, 0.0000, 0.5000), Ni at (0.2500, 0.2500, 0.2500) and B at (0.2500, 0.2500, 0.7500).


DFT (PBE) results for crystalline HoErGeCl2 at its relaxed geometry.

As for the crystal system: trigonal. The total energy comes out at -5.1132 eV per atom.

It has space group P3m1 (No. 156), with a = 4.0487 Å, b = 4.0487 Å, c = 9.5701 Å, α = 90.00°, β = 90.00° and γ = 120.00°. The asymmetric unit holds Ho at (0.0000, 0.0000, 0.0000), Er at (0.3333, 0.6667, 0.6658), Ge at (0.6667, 0.3333, 0.8321), Cl at (0.0000, 0.0000, 0.5037) and Cl at (0.3333, 0.6667, 0.1629).


DFT (PBE) results for crystalline ZnHgTeO at its relaxed geometry.

The value obtained for the offset from the most stable computed form is 640 meV per atom. As for the crystal system: tetragonal. The total energy comes out at -2.3737 eV per atom.

It has space group P4/nmm (No. 129, origin choice 2), with a = 4.4886 Å, b = 4.4886 Å, c = 8.9188 Å, α = 90.00°, β = 90.00° and γ = 90.00°. The asymmetric unit holds Zn at (0.2500, 0.2500, 0.2026), Hg at (0.2500, 0.2500, 0.6489), Te at (0.2500, 0.7500, 0.0000) and O at (0.2500, 0.2500, 0.4039).


DFT (PBE) results for crystalline Dy3AsBr2Cl at its relaxed geometry.

As for the crystal system: tetragonal. The total energy comes out at -4.8129 eV per atom.

It has space group P4/mmm (No. 123), with a = 5.6842 Å, b = 5.6842 Å, c = 5.7693 Å, α = 90.00°, β = 90.00° and γ = 90.00°. The asymmetric unit holds Dy at (0.0000, 0.0000, 0.0000), Dy at (0.0000, 0.5000, 0.5000), As at (0.0000, 0.0000, 0.5000), Br at (0.0000, 0.5000, 0.0000) and Cl at (0.5000, 0.5000, 0.5000).


DFT (PBE) results for crystalline MgTa2Bi3Ir3 at its relaxed geometry.

As for the crystal system: monoclinic. The total energy comes out at -7.3332 eV per atom.

It has space group Cc (No. 9), with a = 7.8204 Å, b = 13.5443 Å, c = 7.8046 Å, α = 90.00°, β = 109.55° and γ = 90.00°. The asymmetric unit holds Mg at (0.0000, 0.0877, 0.0000), Ta at (0.4920, 0.0835, 0.4904), Ta at (0.4972, 0.2473, 0.9904), Bi at (0.2280, 0.0801, 0.7505), Bi at (0.2503, 0.2558, 0.2380), Bi at (0.2591, 0.4251, 0.7400), Ir at (0.0978, 0.4167, 0.3589), Ir at (0.1279, 0.2616, 0.8581) and Ir at (0.1372, 0.0963, 0.3835).


DFT (PBE) results for crystalline YInCoAu at its relaxed geometry.

The value obtained for the offset from the most stable computed form is 0 meV per atom. As for the crystal system: cubic. The total energy comes out at -5.2031 eV per atom.

It has space group F-43m (No. 216), with a = 6.7682 Å, b = 6.7682 Å, c = 6.7682 Å, α = 90.00°, β = 90.00° and γ = 90.00°. The asymmetric unit holds Y at (0.0000, 0.0000, 0.0000), In at (0.0000, 0.0000, 0.5000), Co at (0.2500, 0.2500, 0.7500) and Au at (0.2500, 0.2500, 0.2500).